No. 1
{"formula": "NaAlZn2O4", "functional": "GGA-PBE", "state": "optimized geometry", "e_form_raw_mev_per_atom": -1971, "cell": [[-2.439, 2.439, 4.129], [2.439, -2.439, 4.129], [2.439, 2.439, -4.129]], "species": ["Na", "Al", "Zn", "Zn", "O", "O", "O", "O"], "frac_coords": [[0.000, 0.000, 0.000], [0.500, 0.500, 0.000], [0.250, 0.750, 0.500], [0.750, 0.250, 0.500], [0.164, 0.164, 0.582], [0.418, 0.836, 0.000], [0.582, 0.582, 0.418], [0.836, 0.418, 0.000]]}

***

No. 2
{"formula": "TbEuAlPb", "functional": "GGA-PBE", "state": "optimized geometry", "ef_kj_per_mol_atoms": -32.12, "cell": [[0.000, 3.815, 3.815], [3.815, 0.000, 3.815], [3.815, 3.815, 0.000]], "species": ["Tb", "Eu", "Al", "Pb"], "frac_coords": [[0.000, 0.000, 0.000], [0.500, 0.500, 0.500], [0.250, 0.250, 0.250], [0.750, 0.750, 0.750]]}

***

No. 3
{"formula": "Pm6Bi2C", "functional": "GGA-PBE", "state": "optimized geometry", "ef_kj_per_mol_atoms": -40.53, "relative_energy_mev_per_atom": 0.0, "cell": [[-3.581, 3.581, 5.048], [3.581, -3.581, 5.048], [3.581, 3.581, -5.048]], "species": ["Pm", "Pm", "Pm", "Pm", "Pm", "Pm", "Bi", "Bi", "C"], "frac_coords": [[0.246, 0.246, 0.000], [0.246, 0.246, 0.491], [0.246, 0.754, 0.000], [0.754, 0.246, 0.000], [0.754, 0.754, 0.000], [0.754, 0.754, 0.509], [0.250, 0.750, 0.500], [0.750, 0.250, 0.500], [0.000, 0.000, 0.000]]}

***

No. 4
{"formula": "Na2AgPd2", "functional": "GGA-PBE", "state": "optimized geometry", "ef_kj_per_mol_atoms": 13.49, "relative_energy_mev_per_atom": 185.8, "cell": [[8.083, 0.000, 0.000], [0.000, 8.083, 0.000], [0.000, 0.000, 2.886]], "species": ["Na", "Na", "Na", "Na", "Ag", "Ag", "Pd", "Pd", "Pd", "Pd"], "frac_coords": [[0.124, 0.376, 0.000], [0.376, 0.876, 0.000], [0.624, 0.124, 0.000], [0.876, 0.624, 0.000], [0.000, 0.000, 0.000], [0.500, 0.500, 0.000], [0.177, 0.677, 0.500], [0.323, 0.177, 0.500], [0.677, 0.823, 0.500], [0.823, 0.323, 0.500]]}